1.
This record from Alexandria via LeMat-Bulk describes crystalline Ca2Sc3 at its relaxed geometry. The functional is GGA-PBE.

## Properties
symmetry	P-3m1 (164)
total energy	-3.91	eV/atom
N(E_F)	1.651	states/eV per atom
energy of formation from the pure elements	0.69	eV/atom
V	33.541	A^3/atom

Lattice parameters (Å, degrees): 5.4128 5.4128 6.6094 90.00 90.00 120.00
Sites, in units of the cell vectors:
Sc1 0.6667 0.3333 0.6576
Sc2 0.3333 0.6667 0.3424
Sc3 0.0000 0.0000 0.0000
Ca1 0.6667 0.3333 0.1579
Ca2 0.3333 0.6667 0.8421

---

2.
This record from Alexandria via LeMat-Bulk describes crystalline Tb2ThTl3Te6 at its relaxed geometry. The functional is GGA-PBE.

## Properties
symmetry	C2/m (12)
E_form (uncorrected)	-0.976	eV/atom
total energy	-4.53	eV/atom
N(E_F)	0.384	states/eV per atom
V	35.411	A^3/atom

Lattice parameters (Å, degrees): 7.6770 7.6770 8.7112 98.45 98.45 120.01
Sites, in units of the cell vectors:
Tb1 0.3332 0.6668 0.0000
Tb2 0.6668 0.3332 0.0000
Tl1 0.1660 0.8340 0.5000
Tl2 0.8340 0.1660 0.5000
Tl3 0.5000 0.5000 0.5000
Th1 0.0000 0.0000 0.0000
Te1 0.4089 0.0730 0.2186
Te2 0.5911 0.9270 0.7814
Te3 0.2634 0.2634 0.7820
Te4 0.9270 0.5911 0.7814
Te5 0.7366 0.7366 0.2180
Te6 0.0730 0.4089 0.2186

---

3.
This record from Alexandria via LeMat-Bulk describes crystalline ZrBPt at its relaxed geometry. The functional is GGA-PBE.

## Properties
symmetry	C2/m (12)
total energy	-7.71	eV/atom
N(E_F)	0.585	states/eV per atom
energy of formation from the pure elements	-0.62	eV/atom
V	15.603	A^3/atom

Lattice parameters (Å, degrees): 3.5158 4.7024 6.2261 100.48 90.00 111.95
Sites, in units of the cell vectors:
Pt1 0.3658 0.7317 0.5747
Pt2 0.6342 0.2683 0.4253
B1 0.4140 0.8280 0.9173
B2 0.5860 0.1720 0.0827
Zr1 0.1113 0.2226 0.8036
Zr2 0.8887 0.7774 0.1964

---

4.
This record from Alexandria via LeMat-Bulk describes crystalline Na2BiAu at its relaxed geometry. The functional is GGA-PBE.

## Properties
symmetry	Cmcm (63)
total energy	-2.82	eV/atom
N(E_F)	0.000	states/eV per atom
energy of formation from the pure elements	-0.37	eV/atom
V	27.508	A^3/atom

Lattice parameters (Å, degrees): 6.0104 6.1239 6.1239 102.49 90.00 90.00
Sites, in units of the cell vectors:
Na1 0.7500 0.3586 0.9990
Na2 0.2500 0.0010 0.6414
Na3 0.2500 0.6414 0.0010
Na4 0.7500 0.9990 0.3586
Bi1 0.7500 0.8097 0.8097
Bi2 0.2500 0.1903 0.1903
Au1 0.5000 0.5000 0.5000
Au2 0.0000 0.5000 0.5000

---

5.
This record from Alexandria via LeMat-Bulk describes crystalline La2SbBr2 at its relaxed geometry. The functional is GGA-PBE.

## Properties
symmetry	I4/mmm (139)
E_form (uncorrected)	-1.321	eV/atom
total energy	-4.79	eV/atom
N(E_F)	0.278	states/eV per atom
V	31.847	A^3/atom

Lattice parameters (Å, degrees): 4.5760 4.5760 8.2641 73.93 73.93 90.00
Last column: magnetic moment on the atom in μB.
Sites, in units of the cell vectors:
La1 0.6134 0.6134 0.7732  0.28
La2 0.3866 0.3866 0.2268  0.28
Sb1 0.0000 0.0000 0.0000  -0.02
Br1 0.2500 0.7500 0.5000  0.00
Br2 0.7500 0.2500 0.5000  0.00

---

6.
This record from Alexandria via LeMat-Bulk describes crystalline AcCePm2 at its relaxed geometry. The functional is GGA-PBE.

## Properties
symmetry	P4/mmm (123)
E above lowest polymorph	6.5	meV/atom
total energy	-4.78	eV/atom
N(E_F)	2.347	states/eV per atom
energy of formation from the pure elements	0.11	eV/atom
V	35.660	A^3/atom

Lattice parameters (Å, degrees): 5.2168 5.2290 5.2290 90.00 90.00 90.00
Last column: magnetic moment on the atom in μB.
Sites, in units of the cell vectors:
Pm1 0.0000 0.0000 0.5000  0.00
Pm2 0.0000 0.5000 0.0000  0.00
Ac1 0.5000 0.0000 0.0000  0.01
Ce1 0.5000 0.5000 0.5000  0.76

---

7.
This record from Alexandria via LeMat-Bulk describes crystalline Sc2HgPt at its relaxed geometry. The functional is GGA-PBE.

## Properties
symmetry	C2/m (12)
total energy	-5.41	eV/atom
N(E_F)	1.080	states/eV per atom
energy of formation from the pure elements	-0.66	eV/atom
V	22.559	A^3/atom

Lattice parameters (Å, degrees): 3.7273 3.7273 7.8129 76.29 76.29 59.79
Sites, in units of the cell vectors:
Sc1 0.4871 0.4871 0.5392
Sc2 0.0129 0.0129 0.9608
Hg1 0.2500 0.2500 0.2500
Pt1 0.7500 0.7500 0.7500

---

8.
This record from Alexandria via LeMat-Bulk describes crystalline Ba2CaAlF at its relaxed geometry. The functional is GGA-PBE.

## Properties
symmetry	P4/mmm (123)
E_form (uncorrected)	-1.078	eV/atom
total energy	-3.37	eV/atom
N(E_F)	0.663	states/eV per atom
V	32.204	A^3/atom

Lattice parameters (Å, degrees): 5.8984 5.8984 4.6282 90.00 90.00 90.00
Sites, in units of the cell vectors:
Ba1 0.5000 0.0000 0.0000
Ba2 0.0000 0.5000 0.0000
Ca1 0.0000 0.0000 0.5000
F1 0.0000 0.0000 0.0000
Al1 0.5000 0.5000 0.5000

---

9.
This record from Alexandria via LeMat-Bulk describes crystalline KTl2NiSn at its relaxed geometry. The functional is GGA-PBE.

## Properties
symmetry	P4/mmm (123)
total energy	-3.11	eV/atom
N(E_F)	0.832	states/eV per atom
energy of formation from the pure elements	0.01	eV/atom
V	28.540	A^3/atom

Lattice parameters (Å, degrees): 5.2905 5.2905 5.0984 90.00 90.00 90.00
Sites, in units of the cell vectors:
Tl1 0.5000 0.0000 0.0000
Tl2 0.0000 0.5000 0.0000
Sn1 0.0000 0.0000 0.5000
Ni1 0.0000 0.0000 0.0000
K1 0.5000 0.5000 0.5000

---

10.
This record from Alexandria via LeMat-Bulk describes crystalline Fe2Tc at its relaxed geometry. The functional is GGA-PBE.

## Properties
symmetry	Fm-3m (225)
E above lowest polymorph	706.2	meV/atom
total energy	-8.37	eV/atom
N(E_F)	1.676	states/eV per atom
energy of formation from the pure elements	0.73	eV/atom
V	14.011	A^3/atom

Lattice parameters (Å, degrees): 3.9027 3.9027 3.9027 60.00 60.00 60.00
Sites, in units of the cell vectors:
Fe1 0.2500 0.2500 0.2500
Fe2 0.7500 0.7500 0.7500
Tc1 0.0000 0.0000 0.0000

---

11.
This record from Alexandria via LeMat-Bulk describes crystalline AlReI2N at its relaxed geometry. The functional is GGA-PBE.

## Properties
symmetry	P4/mmm (123)
E above lowest polymorph	0.0	meV/atom
E_form (uncorrected)	0.464	eV/atom
total energy	-5.06	eV/atom
N(E_F)	0.601	states/eV per atom
V	24.399	A^3/atom

Lattice parameters (Å, degrees): 5.6664 5.6664 3.7995 90.00 90.00 90.00
Sites, in units of the cell vectors:
I1 0.0000 0.5000 0.0000
I2 0.5000 0.0000 0.0000
Re1 0.0000 0.0000 0.0000
N1 0.0000 0.0000 0.5000
Al1 0.5000 0.5000 0.5000

---

12.
This record from Alexandria via LeMat-Bulk describes crystalline Tc3Br at its relaxed geometry. The functional is GGA-PBE.

## Properties
symmetry	Fm-3m (225)
E above lowest polymorph	442.5	meV/atom
E_form (uncorrected)	0.952	eV/atom
total energy	-7.24	eV/atom
N(E_F)	1.173	states/eV per atom
V	15.410	A^3/atom

Lattice parameters (Å, degrees): 4.4339 4.4339 4.4339 60.00 60.00 60.00
Sites, in units of the cell vectors:
Tc1 0.7500 0.7500 0.7500
Tc2 0.2500 0.2500 0.2500
Tc3 0.5000 0.5000 0.5000
Br1 0.0000 0.0000 0.0000

---

13.
This record from Alexandria via LeMat-Bulk describes crystalline NdYMgTl at its relaxed geometry. The functional is GGA-PBE.

## Properties
symmetry	F-43m (216)
total energy	-4.07	eV/atom
N(E_F)	0.873	states/eV per atom
energy of formation from the pure elements	-0.27	eV/atom
V	28.249	A^3/atom

Lattice parameters (Å, degrees): 5.4266 5.4266 5.4266 60.00 60.00 60.00
Sites, in units of the cell vectors:
Y1 0.7500 0.7500 0.7500
Tl1 0.0000 0.0000 0.0000
Mg1 0.5000 0.5000 0.5000
Nd1 0.2500 0.2500 0.2500

---

14.
This record from Alexandria via LeMat-Bulk describes crystalline Sm5Y2Ho6 at its relaxed geometry. The functional is GGA-PBE.

## Properties
symmetry	Pbam (55)
total energy	-4.83	eV/atom
N(E_F)	1.263	states/eV per atom
energy of formation from the pure elements	0.09	eV/atom
V	32.787	A^3/atom

Lattice parameters (Å, degrees): 3.5803 11.6723 20.3982 90.00 90.00 90.00
Sites, in units of the cell vectors:
Sm1 0.5000 0.1997 0.9495
Sm2 0.5000 0.6997 0.5505
Sm3 0.5000 0.4111 0.7256
Sm4 0.5000 0.9111 0.7744
Sm5 0.5000 0.0000 0.5000
Sm6 0.5000 0.3003 0.4495
Sm7 0.5000 0.5889 0.2744
Sm8 0.5000 0.5000 0.0000
Sm9 0.5000 0.0889 0.2256
Sm10 0.5000 0.8003 0.0505
Ho1 0.5000 0.3246 0.1350
Ho2 0.0000 0.5594 0.4195
Ho3 0.0000 0.5800 0.1324
Ho4 0.0000 0.0594 0.0805
Ho5 0.5000 0.8246 0.3650
Ho6 0.0000 0.0800 0.3676
Ho7 0.0000 0.4200 0.8676
Ho8 0.0000 0.9200 0.6324
Ho9 0.0000 0.4406 0.5805
Ho10 0.5000 0.1754 0.6350
Ho11 0.0000 0.9406 0.9195
Ho12 0.5000 0.6754 0.8650
Y1 0.0000 0.8312 0.2114
Y2 0.0000 0.1688 0.7886
Y3 0.0000 0.3312 0.2886
Y4 0.0000 0.6688 0.7114

---

15.
This record from Alexandria via LeMat-Bulk describes crystalline Ac12Ir5Se3 at its relaxed geometry. The functional is GGA-PBE.

## Properties
symmetry	Ia-3d (230)
E_form (uncorrected)	-0.616	eV/atom
total energy	-5.82	eV/atom
N(E_F)	0.625	states/eV per atom
V	37.698	A^3/atom

Lattice parameters (Å, degrees): 15.7644 15.7644 15.7644 109.47 109.47 109.47
Sites, in units of the cell vectors:
Ac1 0.7917 0.3246 0.9140
Ac2 0.7083 0.1223 0.0329
Ac3 0.4671 0.7917 0.8777
Ac4 0.4106 0.3777 0.5860
Ac5 0.0894 0.9140 0.1223
Ac6 0.4140 0.1223 0.5894
Ac7 0.8777 0.2917 0.4671
Ac8 0.9106 0.8246 0.5329
Ac9 0.3777 0.9671 0.7917
Ac10 0.2917 0.4140 0.8246
Ac11 0.7917 0.4671 0.3777
Ac12 0.6223 0.5894 0.9140
Ac13 0.5894 0.6223 0.4140
Ac14 0.1754 0.0860 0.7083
Ac15 0.1223 0.7083 0.5329
Ac16 0.8246 0.9106 0.0329
Ac17 0.9671 0.3777 0.2917
Ac18 0.0329 0.6223 0.7083
Ac19 0.8777 0.5860 0.9106
Ac20 0.9106 0.0860 0.8777
Ac21 0.2917 0.8777 0.9671
Ac22 0.9140 0.0894 0.6223
Ac23 0.5860 0.8777 0.4106
Ac24 0.8246 0.9140 0.2917
Ac25 0.5894 0.9671 0.6754
Ac26 0.6223 0.0329 0.2083
Ac27 0.1223 0.4140 0.0894
Ac28 0.7083 0.5860 0.1754
Ac29 0.3246 0.5329 0.4106
Ac30 0.9671 0.5894 0.1754
Ac31 0.5860 0.7083 0.6754
Ac32 0.3246 0.7917 0.4140
Ac33 0.0860 0.1754 0.2083
Ac34 0.0894 0.1754 0.4671
Ac35 0.3777 0.4106 0.0860
Ac36 0.4106 0.0329 0.3246
Ac37 0.5329 0.3246 0.9106
Ac38 0.4671 0.6754 0.0894
Ac39 0.5329 0.2083 0.1223
Ac40 0.2083 0.5329 0.6223
Ac41 0.1754 0.0894 0.9671
Ac42 0.6754 0.4671 0.5894
Ac43 0.0860 0.9106 0.3777
Ac44 0.6754 0.2083 0.5860
Ac45 0.0329 0.4106 0.8246
Ac46 0.2083 0.6754 0.0860
Ac47 0.9140 0.8246 0.7917
Ac48 0.4140 0.2917 0.3246
Se1 0.1250 0.8750 0.7500
Se2 0.8750 0.7500 0.1250
Se3 0.2500 0.1250 0.3750
Se4 0.8750 0.1250 0.2500
Se5 0.2500 0.6250 0.8750
Se6 0.1250 0.2500 0.8750
Se7 0.6250 0.3750 0.7500
Se8 0.7500 0.3750 0.1250
Se9 0.7500 0.8750 0.6250
Se10 0.3750 0.6250 0.2500
Se11 0.3750 0.7500 0.6250
Se12 0.6250 0.2500 0.3750
Ir1 0.1250 0.7500 0.3750
Ir2 0.0000 0.0000 0.5000
Ir3 0.5000 0.5000 0.0000
Ir4 0.2500 0.3750 0.6250
Ir5 0.3750 0.2500 0.1250
Ir6 0.0000 0.5000 0.5000
Ir7 0.3750 0.1250 0.7500
Ir8 0.1250 0.3750 0.2500
Ir9 0.6250 0.7500 0.8750
Ir10 0.8750 0.2500 0.6250
Ir11 0.7500 0.1250 0.8750
Ir12 0.6250 0.8750 0.2500
Ir13 0.8750 0.6250 0.7500
Ir14 0.5000 0.5000 0.5000
Ir15 0.7500 0.6250 0.3750
Ir16 0.2500 0.8750 0.1250
Ir17 0.5000 0.0000 0.0000
Ir18 0.0000 0.5000 0.0000
Ir19 0.0000 0.0000 0.0000
Ir20 0.5000 0.0000 0.5000

---

16.
This record from Alexandria via LeMat-Bulk describes crystalline ErNiPbAu at its relaxed geometry. The functional is GGA-PBE.

## Properties
symmetry	F-43m (216)
total energy	-4.67	eV/atom
N(E_F)	0.626	states/eV per atom
energy of formation from the pure elements	-0.34	eV/atom
V	20.518	A^3/atom

Lattice parameters (Å, degrees): 4.8780 4.8780 4.8780 60.00 60.00 60.00
Sites, in units of the cell vectors:
Au1 0.0000 0.0000 0.0000
Ni1 0.5000 0.5000 0.5000
Er1 0.7500 0.7500 0.7500
Pb1 0.2500 0.2500 0.2500

---

17.
This record from Alexandria via LeMat-Bulk describes crystalline Ce3CrB2N6 at its relaxed geometry. The functional is GGA-PBE.

## Properties
symmetry	P-3m1 (164)
E_form (uncorrected)	-1.036	eV/atom
total energy	-8.60	eV/atom
N(E_F)	1.202	states/eV per atom
V	12.503	A^3/atom

Lattice parameters (Å, degrees): 5.3183 5.3183 6.1251 90.00 90.00 120.00
Last column: magnetic moment on the atom in μB.
Sites, in units of the cell vectors:
N1 0.1756 0.3512 0.2897  -0.02
N2 0.6488 0.8244 0.2897  -0.02
N3 0.8244 0.6488 0.7103  -0.02
N4 0.1756 0.8244 0.2897  -0.02
N5 0.3512 0.1756 0.7103  -0.02
N6 0.8244 0.1756 0.7103  -0.02
B1 0.6667 0.3333 0.7446  0.01
B2 0.3333 0.6667 0.2554  0.01
Ce1 0.0000 0.0000 0.0000  0.42
Ce2 0.6667 0.3333 0.3359  0.74
Ce3 0.3333 0.6667 0.6641  0.74
Cr1 0.0000 0.0000 0.5000  2.20

---

18.
This record from Alexandria via LeMat-Bulk describes crystalline NpBeAu2 at its relaxed geometry. The functional is GGA-PBE.

## Properties
symmetry	R-3m (166)
E above lowest polymorph	153.6	meV/atom
total energy	-5.76	eV/atom
N(E_F)	0.790	states/eV per atom
energy of formation from the pure elements	0.05	eV/atom
V	17.078	A^3/atom

Lattice parameters (Å, degrees): 2.9443 2.9443 9.2563 80.85 80.85 60.00
Last column: magnetic moment on the atom in μB.
Sites, in units of the cell vectors:
Au1 0.2686 0.2686 0.1941  0.00
Au2 0.7314 0.7314 0.8059  0.00
Be1 0.0000 0.0000 0.0000  0.00
Np1 0.5000 0.5000 0.5000  3.37

---

19.
This record from Alexandria via LeMat-Bulk describes crystalline InRh2Br at its relaxed geometry. The functional is GGA-PBE.

## Properties
symmetry	Cm (8)
E above lowest polymorph	181.9	meV/atom
E_form (uncorrected)	0.193	eV/atom
total energy	-4.59	eV/atom
N(E_F)	0.649	states/eV per atom
V	18.178	A^3/atom

Lattice parameters (Å, degrees): 5.3982 5.3982 4.4209 83.55 83.55 34.64
Sites, in units of the cell vectors:
Rh1 0.9907 0.9907 0.0180
Rh2 0.7317 0.7317 0.7214
Br1 0.5106 0.5106 0.5602
In1 0.2670 0.2670 0.2004

---

20.
This record from Alexandria via LeMat-Bulk describes crystalline Zr2Sc3In3 at its relaxed geometry. The functional is GGA-PBE.

## Properties
symmetry	Immm (71)
total energy	-5.89	eV/atom
N(E_F)	1.068	states/eV per atom
energy of formation from the pure elements	-0.35	eV/atom
V	22.671	A^3/atom

Lattice parameters (Å, degrees): 4.2797 4.4841 9.9460 103.03 102.42 90.00
Sites, in units of the cell vectors:
Zr1 0.2541 0.7541 0.5082
Zr2 0.7459 0.2459 0.4918
In1 0.0000 0.5000 0.0000
In2 0.8723 0.8723 0.7446
In3 0.1277 0.1277 0.2554
Sc1 0.3769 0.3769 0.7537
Sc2 0.6231 0.6231 0.2463
Sc3 0.5000 0.0000 0.0000